# Cd5In2Sn2 PBE optimized geometry
# - ΔE to the lowest computed polymorph: 0 meV per atom
# - Total DFT energy (no corrections): -1.962 eV/atom
# - Crystal system: monoclinic
# - Magnetization: 0.00 μB per cell
# - Energy of formation from the pure elements: 45 meV per atom
# - Volume: 25.486 Å³/atom
data_Cd5In2Sn2
_chemical_formula_sum 'Cd20 In8 Sn8'
_space_group_name_H-M_alt 'C 1 2 1'
_space_group_IT_number 5
_space_group_name_Hall 'C 2y'
_cell_length_a 16.0258
_cell_length_b 11.5847
_cell_length_c 5.1769
_cell_angle_alpha 90.00
_cell_angle_beta 107.33
_cell_angle_gamma 90.00
loop_
_atom_site_label
_atom_site_type_symbol
_atom_site_fract_x
_atom_site_fract_y
_atom_site_fract_z
Cd1 Cd 0.0504 0.0000 0.3003
Cd2 Cd 0.0504 0.4980 0.3006
Cd3 Cd 0.1498 0.4996 0.8997
Cd4 Cd 0.1498 0.9980 0.8989
Cd5 Cd 0.2500 0.4982 0.5004
In1 In 0.1253 0.2488 0.6158
In2 In 0.1250 0.7488 0.1358
Sn1 Sn 0.0000 0.2488 0.0000
Sn2 Sn 0.0000 0.7487 0.5000
Sn3 Sn 0.2494 0.7483 0.7644

# TlBTe2 PBE optimized geometry
# - ΔE to the lowest computed polymorph: 126 meV per atom
# - Total DFT energy (no corrections): -3.570 eV/atom
# - Crystal system: trigonal
# - Magnetization: 0.00 μB per cell
# - Raw formation energy: 0.26 eV per atom
# - Volume: 47.941 Å³/atom
data_TlBTe2
_chemical_formula_sum 'Tl3 B3 Te6'
_space_group_name_H-M_alt 'R -3 m'
_space_group_IT_number 166
_space_group_name_Hall '-R 3 2"'
_cell_length_a 5.6522
_cell_length_b 5.6522
_cell_length_c 20.7934
_cell_angle_alpha 90.00
_cell_angle_beta 90.00
_cell_angle_gamma 120.00
loop_
_atom_site_label
_atom_site_type_symbol
_atom_site_fract_x
_atom_site_fract_y
_atom_site_fract_z
Tl1 Tl 0.0000 0.0000 0.0000
B1 B 0.0000 0.0000 0.5000
Te1 Te 0.0000 0.0000 0.4023

# K6TeBr12 PBE optimized geometry
# - Total DFT energy (no corrections): -2.696 eV/atom
# - Crystal system: trigonal
# - Magnetization: 6.10 μB per cell
# - Raw formation energy: -1.13 eV per atom
# - Volume: 40.755 Å³/atom
data_K6TeBr12
_chemical_formula_sum 'K18 Te3 Br36'
_space_group_name_H-M_alt 'R -3'
_space_group_IT_number 148
_space_group_name_Hall '-R 3'
_cell_length_a 13.8448
_cell_length_b 13.8448
_cell_length_c 13.9945
_cell_angle_alpha 90.00
_cell_angle_beta 90.00
_cell_angle_gamma 120.00
loop_
_atom_site_label
_atom_site_type_symbol
_atom_site_fract_x
_atom_site_fract_y
_atom_site_fract_z
K1 K 0.0629 0.5954 0.3085
Te1 Te 0.0000 0.0000 0.0000
Br1 Br 0.0588 0.8737 0.8891
Br2 Br 0.0656 0.8185 0.4031

# CaBiO3 PBE optimized geometry
# - Total DFT energy (no corrections): -5.900 eV/atom
# - Crystal system: orthorhombic
# - Magnetization: 0.00 μB per cell
# - Raw formation energy: -1.75 eV per atom
# - Volume: 15.371 Å³/atom
data_CaBiO3
_chemical_formula_sum 'Ca4 Bi4 O12'
_space_group_name_H-M_alt 'P n m a'
_space_group_IT_number 62
_space_group_name_Hall '-P 2ac 2n'
_cell_length_a 6.0165
_cell_length_b 8.8082
_cell_length_c 5.8011
_cell_angle_alpha 90.00
_cell_angle_beta 90.00
_cell_angle_gamma 90.00
loop_
_atom_site_label
_atom_site_type_symbol
_atom_site_fract_x
_atom_site_fract_y
_atom_site_fract_z
Ca1 Ca 0.0000 0.0000 0.0000
Bi1 Bi 0.0286 0.2500 0.4901
O1 O 0.1119 0.7500 0.1669
O2 O 0.1727 0.5832 0.6681

# TbErTl2 PBE optimized geometry
# - Total DFT energy (no corrections): -3.817 eV/atom
# - Crystal system: tetragonal
# - Magnetization: 0.00 μB per cell
# - Energy of formation from the pure elements: -336 meV per atom
# - Volume: 27.090 Å³/atom
data_TbErTl2
_chemical_formula_sum 'Tb1 Er1 Tl2'
_space_group_name_H-M_alt 'P 4/m m m'
_space_group_IT_number 123
_space_group_name_Hall '-P 4 2'
_cell_length_a 3.7833
_cell_length_b 3.7833
_cell_length_c 7.5706
_cell_angle_alpha 90.00
_cell_angle_beta 90.00
_cell_angle_gamma 90.00
loop_
_atom_site_label
_atom_site_type_symbol
_atom_site_fract_x
_atom_site_fract_y
_atom_site_fract_z
Tb1 Tb 0.0000 0.0000 0.0000
Er1 Er 0.0000 0.0000 0.5000
Tl1 Tl 0.5000 0.5000 0.2540

# Ta3Ti2Nb3 PBE optimized geometry
# - ΔE to the lowest computed polymorph: 156 meV per atom
# - Total DFT energy (no corrections): -10.019 eV/atom
# - Crystal system: orthorhombic
# - Magnetization: 0.00 μB per cell
# - Energy of formation from the pure elements: 175 meV per atom
# - Volume: 18.304 Å³/atom
data_Ta3Ti2Nb3
_chemical_formula_sum 'Ta6 Ti4 Nb6'
_space_group_name_H-M_alt 'A m m 2'
_space_group_IT_number 38
_space_group_name_Hall 'A 2 -2'
_cell_length_a 2.7602
_cell_length_b 11.0829
_cell_length_c 9.5733
_cell_angle_alpha 90.00
_cell_angle_beta 90.00
_cell_angle_gamma 90.00
loop_
_atom_site_label
_atom_site_type_symbol
_atom_site_fract_x
_atom_site_fract_y
_atom_site_fract_z
Ta1 Ta 0.0000 0.0000 0.0000
Ta2 Ta 0.0000 0.2442 0.4891
Ti1 Ti 0.5000 0.1285 0.2315
Nb1 Nb 0.5000 0.0000 0.4823
Nb2 Nb 0.5000 0.1273 0.7439

# NbCrTc PBE optimized geometry
# - ΔE to the lowest computed polymorph: 0 meV per atom
# - Total DFT energy (no corrections): -10.091 eV/atom
# - Crystal system: orthorhombic
# - Magnetization: 0.00 μB per cell
# - Energy of formation from the pure elements: -71 meV per atom
# - Volume: 15.142 Å³/atom
data_NbCrTc
_chemical_formula_sum 'Nb4 Cr4 Tc4'
_space_group_name_H-M_alt 'I m m a'
_space_group_IT_number 74
_space_group_name_Hall '-I 2b 2'
_cell_length_a 4.9479
_cell_length_b 5.1751
_cell_length_c 7.0961
_cell_angle_alpha 90.00
_cell_angle_beta 90.00
_cell_angle_gamma 90.00
loop_
_atom_site_label
_atom_site_type_symbol
_atom_site_fract_x
_atom_site_fract_y
_atom_site_fract_z
Nb1 Nb 0.0000 0.2500 0.1240
Cr1 Cr 0.2500 0.2500 0.7500
Tc1 Tc 0.0000 0.0000 0.5000

# BaScIn PBE optimized geometry
# - ΔE to the lowest computed polymorph: 427 meV per atom
# - Total DFT energy (no corrections): -3.544 eV/atom
# - Crystal system: cubic
# - Magnetization: 0.97 μB per cell
# - Energy of formation from the pure elements: 120 meV per atom
# - Volume: 38.639 Å³/atom
data_BaScIn
_chemical_formula_sum 'Ba4 Sc4 In4'
_space_group_name_H-M_alt 'F -4 3 m'
_space_group_IT_number 216
_space_group_name_Hall 'F -4 2 3'
_cell_length_a 7.7399
_cell_length_b 7.7399
_cell_length_c 7.7399
_cell_angle_alpha 90.00
_cell_angle_beta 90.00
_cell_angle_gamma 90.00
loop_
_atom_site_label
_atom_site_type_symbol
_atom_site_fract_x
_atom_site_fract_y
_atom_site_fract_z
Ba1 Ba 0.0000 0.0000 0.0000
Sc1 Sc 0.0000 0.0000 0.5000
In1 In 0.2500 0.2500 0.2500